# 1
Material: Y2TlSeO
Method: DFT, PBE
State: optimized geometry

The structure in CIF format:
```
data_Y2TlSeO
_chemical_formula_sum 'Y2 Tl1 Se1 O1'
_space_group_name_H-M_alt 'P 4/m m m'
_space_group_IT_number 123
_space_group_name_Hall '-P 4 2'
_cell_length_a 4.539
_cell_length_b 4.539
_cell_length_c 5.815
_cell_angle_alpha 90.00
_cell_angle_beta 90.00
_cell_angle_gamma 90.00
loop_
_atom_site_label
_atom_site_type_symbol
_atom_site_fract_x
_atom_site_fract_y
_atom_site_fract_z
_atom_site_occupancy
Y1 Y 0.000 0.500 0.000 1
Tl1 Tl 0.000 0.000 0.500 1
Se1 Se 0.500 0.500 0.500 1
O1 O 0.500 0.500 0.000 1
```

For the uncorrected formation energy, the calculation gives -1183 meV per atom. The calculation puts the mass density at 6.614 g cm⁻³.

# 2
Material: YTlSeO2
Method: DFT, PBE
State: optimized geometry

The structure in CIF format:
```
data_YTlSeO2
_chemical_formula_sum 'Y1 Tl1 Se1 O2'
_space_group_name_H-M_alt 'P 4/m m m'
_space_group_IT_number 123
_space_group_name_Hall '-P 4 2'
_cell_length_a 4.128
_cell_length_b 4.128
_cell_length_c 6.833
_cell_angle_alpha 90.00
_cell_angle_beta 90.00
_cell_angle_gamma 90.00
loop_
_atom_site_label
_atom_site_type_symbol
_atom_site_fract_x
_atom_site_fract_y
_atom_site_fract_z
_atom_site_occupancy
Y1 Y 0.000 0.000 0.000 1
Tl1 Tl 0.000 0.000 0.500 1
Se1 Se 0.500 0.500 0.000 1
O1 O 0.000 0.500 0.500 1
```

For the uncorrected formation energy, the calculation gives -408 meV per atom. The calculation puts the mass density at 5.767 g cm⁻³.

# 3
Material: Tl2ZnSeO4
Method: DFT, PBE
State: optimized geometry

The structure in CIF format:
```
data_Tl2ZnSeO4
_chemical_formula_sum 'Tl16 Zn8 Se8 O32'
_space_group_name_H-M_alt 'F d d d'
_space_group_IT_number 70
_cell_length_a 5.765
_cell_length_b 12.523
_cell_length_c 19.592
_cell_angle_alpha 90.00
_cell_angle_beta 90.00
_cell_angle_gamma 90.00
loop_
_space_group_symop_operation_xyz
'x,y,z'
'-x,-y,-z'
'-x+1/4,-y+1/4,z'
'x+1/4,y+1/4,-z'
'x,-y+1/4,-z+1/4'
'-x,y+1/4,z+1/4'
'-x+1/4,y,-z+1/4'
'x+1/4,-y,z+1/4'
'x,y+1/2,z+1/2'
'-x,-y+1/2,-z+1/2'
'-x+1/4,-y+3/4,z+1/2'
'x+1/4,y+3/4,-z+1/2'
'x,-y+3/4,-z+3/4'
'-x,y+3/4,z+3/4'
'-x+1/4,y+1/2,-z+3/4'
'x+1/4,-y+1/2,z+3/4'
'x+1/2,y,z+1/2'
'-x+1/2,-y,-z+1/2'
'-x+3/4,-y+1/4,z+1/2'
'x+3/4,y+1/4,-z+1/2'
'x+1/2,-y+1/4,-z+3/4'
'-x+1/2,y+1/4,z+3/4'
'-x+3/4,y,-z+3/4'
'x+3/4,-y,z+3/4'
'x+1/2,y+1/2,z'
'-x+1/2,-y+1/2,-z'
'-x+3/4,-y+3/4,z'
'x+3/4,y+3/4,-z'
'x+1/2,-y+3/4,-z+1/4'
'-x+1/2,y+3/4,z+1/4'
'-x+3/4,y+1/2,-z+1/4'
'x+3/4,-y+1/2,z+1/4'
loop_
_atom_site_label
_atom_site_type_symbol
_atom_site_fract_x
_atom_site_fract_y
_atom_site_fract_z
_atom_site_occupancy
Tl1 Tl 0.125 0.125 0.309 1
Zn1 Zn 0.125 0.125 0.125 1
Se1 Se 0.125 0.125 0.625 1
O1 O 0.117 0.272 0.853 1
```

For the uncorrected formation energy, the calculation gives -598 meV per atom. The calculation puts the mass density at 5.797 g cm⁻³.

# 4
Material: TlZnSeO4
Method: DFT, PBE
State: optimized geometry

The structure in CIF format:
```
data_TlZnSeO4
_chemical_formula_sum 'Tl4 Zn4 Se4 O16'
_space_group_name_H-M_alt 'F -4 3 m'
_space_group_IT_number 216
_space_group_name_Hall 'F -4 2 3'
_cell_length_a 8.571
_cell_length_b 8.571
_cell_length_c 8.571
_cell_angle_alpha 90.00
_cell_angle_beta 90.00
_cell_angle_gamma 90.00
loop_
_atom_site_label
_atom_site_type_symbol
_atom_site_fract_x
_atom_site_fract_y
_atom_site_fract_z
_atom_site_occupancy
Tl1 Tl 0.000 0.000 0.000 1
Zn1 Zn 0.250 0.250 0.250 1
Se1 Se 0.000 0.000 0.500 1
O1 O 0.119 0.119 0.381 1
```

For the uncorrected formation energy, the calculation gives -697 meV per atom. The calculation puts the mass density at 4.355 g cm⁻³.

# 5
Material: ZrTl2SeO
Method: DFT, PBE
State: optimized geometry

The structure in CIF format:
```
data_ZrTl2SeO
_chemical_formula_sum 'Zr1 Tl2 Se1 O1'
_space_group_name_H-M_alt 'P 4/m m m'
_space_group_IT_number 123
_space_group_name_Hall '-P 4 2'
_cell_length_a 5.888
_cell_length_b 5.888
_cell_length_c 4.986
_cell_angle_alpha 90.00
_cell_angle_beta 90.00
_cell_angle_gamma 90.00
loop_
_atom_site_label
_atom_site_type_symbol
_atom_site_fract_x
_atom_site_fract_y
_atom_site_fract_z
_atom_site_occupancy
Zr1 Zr 0.000 0.000 0.000 1
Tl1 Tl 0.000 0.500 0.000 1
Se1 Se 0.000 0.000 0.500 1
O1 O 0.500 0.500 0.500 1
```

For the uncorrected formation energy, the calculation gives 408 meV per atom. The calculation puts the mass density at 5.715 g cm⁻³.

# 6
Material: Tm2SeO
Method: DFT, PBE
State: optimized geometry

The structure in CIF format:
```
data_Tm2SeO
_chemical_formula_sum 'Tm6 Se3 O3'
_space_group_name_H-M_alt 'R -3 m'
_space_group_IT_number 166
_space_group_name_Hall '-R 3 2"'
_cell_length_a 3.6188
_cell_length_b 3.6188
_cell_length_c 19.0049
_cell_angle_alpha 90.00
_cell_angle_beta 90.00
_cell_angle_gamma 120.00
loop_
_atom_site_label
_atom_site_type_symbol
_atom_site_fract_x
_atom_site_fract_y
_atom_site_fract_z
_atom_site_occupancy
Tm1 Tm 0.0000 0.0000 0.2316 1
Se1 Se 0.0000 0.0000 0.0000 1
O1 O 0.0000 0.0000 0.5000 1
```

For the uncorrected formation energy, the calculation gives -2138 meV per atom. Its energy above the lowest structure with this stoichiometry is 17.0 meV per atom. The calculation puts the mass density at 10.003 g cm⁻³.

# 7
Material: Tm3SeO7
Method: DFT, PBE
State: optimized geometry

The structure in CIF format:
```
data_Tm3SeO7
_chemical_formula_sum 'Tm12 Se4 O28'
_space_group_name_H-M_alt 'C 2 2 21'
_space_group_IT_number 20
_space_group_name_Hall 'C 2c 2'
_cell_length_a 7.428
_cell_length_b 10.291
_cell_length_c 7.342
_cell_angle_alpha 90.00
_cell_angle_beta 90.00
_cell_angle_gamma 90.00
loop_
_atom_site_label
_atom_site_type_symbol
_atom_site_fract_x
_atom_site_fract_y
_atom_site_fract_z
_atom_site_occupancy
Tm1 Tm 0.037 0.000 0.000 1
Tm2 Tm 0.234 0.267 0.755 1
Se1 Se 0.007 0.500 0.000 1
O1 O 0.000 0.130 0.250 1
O2 O 0.000 0.140 0.750 1
O3 O 0.000 0.439 0.750 1
O4 O 0.180 0.375 0.033 1
O5 O 0.205 0.374 0.478 1
```

For the uncorrected formation energy, the calculation gives -2674 meV per atom. The calculation puts the mass density at 8.257 g cm⁻³.

# 8
Material: Tm2SeO
Method: DFT, PBE
State: optimized geometry

The structure in CIF format:
```
data_Tm2SeO
_chemical_formula_sum 'Tm4 Se2 O2'
_space_group_name_H-M_alt 'P m n 21'
_space_group_IT_number 31
_space_group_name_Hall 'P 2ac -2'
_cell_length_a 3.819
_cell_length_b 9.442
_cell_length_c 4.665
_cell_angle_alpha 90.00
_cell_angle_beta 90.00
_cell_angle_gamma 90.00
loop_
_atom_site_label
_atom_site_type_symbol
_atom_site_fract_x
_atom_site_fract_y
_atom_site_fract_z
_atom_site_occupancy
Tm1 Tm 0.000 0.083 0.000 1
Tm2 Tm 0.000 0.689 0.980 1
Se1 Se 0.000 0.381 0.005 1
O1 O 0.000 0.894 0.738 1
```

For the uncorrected formation energy, the calculation gives -2155 meV per atom. Its energy above the lowest structure with this stoichiometry is 0.0 meV per atom. The calculation puts the mass density at 8.546 g cm⁻³.

# 9
Material: Tm4Se3O4
Method: DFT, PBE
State: optimized geometry

The structure in CIF format:
```
data_Tm4Se3O4
_chemical_formula_sum 'Tm8 Se6 O8'
_space_group_name_H-M_alt 'I m m m'
_space_group_IT_number 71
_space_group_name_Hall '-I 2 2'
_cell_length_a 3.852
_cell_length_b 7.438
_cell_length_c 12.534
_cell_angle_alpha 90.00
_cell_angle_beta 90.00
_cell_angle_gamma 90.00
loop_
_atom_site_label
_atom_site_type_symbol
_atom_site_fract_x
_atom_site_fract_y
_atom_site_fract_z
_atom_site_occupancy
Tm1 Tm 0.000 0.000 0.218 1
Tm2 Tm 0.000 0.246 0.500 1
Se1 Se 0.000 0.000 0.000 1
Se2 Se 0.000 0.500 0.099 1
O1 O 0.000 0.319 0.327 1
```

For the uncorrected formation energy, the calculation gives -2296 meV per atom. The calculation puts the mass density at 9.033 g cm⁻³.

# 10
Material: TmSeO
Method: DFT, PBE
State: optimized geometry

The structure in CIF format:
```
data_TmSeO
_chemical_formula_sum 'Tm4 Se4 O4'
_space_group_name_H-M_alt 'C 1 2/m 1'
_space_group_IT_number 12
_space_group_name_Hall '-C 2y'
_cell_length_a 6.371
_cell_length_b 3.564
_cell_length_c 11.573
_cell_angle_alpha 90.00
_cell_angle_beta 100.41
_cell_angle_gamma 90.00
loop_
_atom_site_label
_atom_site_type_symbol
_atom_site_fract_x
_atom_site_fract_y
_atom_site_fract_z
_atom_site_occupancy
Tm1 Tm 0.124 0.000 0.371 1
Se1 Se 0.107 0.500 0.820 1
O1 O 0.188 0.000 0.576 1
```

For the uncorrected formation energy, the calculation gives -2339 meV per atom. The calculation puts the mass density at 6.783 g cm⁻³.

# 11
Material: TmSeO3
Method: DFT, PBE
State: optimized geometry

The structure in CIF format:
```
data_TmSeO3
_chemical_formula_sum 'Tm8 Se8 O24'
_space_group_name_H-M_alt 'P 1 21/c 1'
_space_group_IT_number 14
_space_group_name_Hall '-P 2ybc'
_cell_length_a 5.862
_cell_length_b 12.360
_cell_length_c 8.851
_cell_angle_alpha 90.00
_cell_angle_beta 105.90
_cell_angle_gamma 90.00
loop_
_atom_site_label
_atom_site_type_symbol
_atom_site_fract_x
_atom_site_fract_y
_atom_site_fract_z
_atom_site_occupancy
Tm1 Tm 0.137 0.248 0.161 1
Tm2 Tm 0.258 0.562 0.081 1
Se1 Se 0.131 0.514 0.679 1
Se2 Se 0.454 0.659 0.477 1
O1 O 0.053 0.594 0.277 1
O2 O 0.097 0.093 0.584 1
O3 O 0.248 0.743 0.987 1
O4 O 0.277 0.223 0.928 1
O5 O 0.370 0.517 0.856 1
O6 O 0.484 0.680 0.290 1
```

For the uncorrected formation energy, the calculation gives -2127 meV per atom. The calculation puts the mass density at 6.373 g cm⁻³.

# 12
Material: Tm2SeO2
Method: DFT, PBE
State: optimized geometry

The structure in CIF format:
```
data_Tm2SeO2
_chemical_formula_sum 'Tm2 Se1 O2'
_space_group_name_H-M_alt 'P -3 m 1'
_space_group_IT_number 164
_space_group_name_Hall '-P 3 2"'
_cell_length_a 3.7823
_cell_length_b 3.7823
_cell_length_c 6.7495
_cell_angle_alpha 90.00
_cell_angle_beta 90.00
_cell_angle_gamma 120.00
loop_
_atom_site_label
_atom_site_type_symbol
_atom_site_fract_x
_atom_site_fract_y
_atom_site_fract_z
_atom_site_occupancy
Tm1 Tm 0.3333 0.6667 0.2921 1
Se1 Se 0.0000 0.0000 0.0000 1
O1 O 0.3333 0.6667 0.6255 1
```

For the uncorrected formation energy, the calculation gives -3151 meV per atom. The calculation puts the mass density at 8.913 g cm⁻³.

VASP energy / eV/f.u.: -29.654, -24.271, -34.108, -31.838, -19.683, -25.936, -81.018, -26.004, -73.428, -19.930, -33.463, -38.098
Total moment / μB/cell: 0.00, 0.00, 0.00, 0.00, 0.00, 0.00, 0.00, 0.32, 0.00, 0.00, 0.00, 0.00